Compound: SrCa3Cu
Source: Alexandria via LeMat-Bulk
Functional: PBE
Structure: relaxed

Structure (POSCAR):
```
SrCa3Cu
1.0
6.305 0.000 0.000
0.000 6.305 0.000
0.000 0.000 6.305
Sr Ca Cu
1 3 1
Cartesian
0.000 0.000 0.000
0.000 0.000 3.152
0.000 3.152 0.000
3.152 0.000 0.000
3.152 3.152 3.152
```

Properties
formation energy	1278	meV per atom
space group	Pm-3m (221)
distance to the lowest polymorph of the same formula	1.3087	eV per atom

=====

Compound: AlGaFe6
Source: Alexandria via LeMat-Bulk
Functional: PBE
Structure: relaxed

Structure (POSCAR):
```
AlGaFe6
1.0
3.654 -5.163 0.000
3.654 5.163 0.000
0.000 0.000 10.309
Al Ga Fe
4 4 24
Cartesian
0.000 0.000 2.571
0.000 0.000 7.738
3.654 2.588 0.000
3.654 -2.588 0.000
3.654 2.585 5.155
3.654 0.000 2.573
3.654 0.000 7.736
3.654 -2.585 5.155
0.000 0.000 0.000
0.000 0.000 5.155
1.828 1.293 1.287
1.826 1.288 3.864
1.826 1.288 6.445
1.828 1.293 9.022
3.654 2.586 2.574
3.654 2.586 7.735
1.828 -1.293 1.287
1.826 -1.288 3.864
1.826 -1.288 6.445
1.828 -1.293 9.022
3.654 0.000 0.000
3.654 0.000 5.155
5.481 1.293 1.287
5.482 1.288 3.864
5.482 1.288 6.445
5.481 1.293 9.022
3.654 -2.586 2.574
3.654 -2.586 7.735
5.481 -1.293 1.287
5.482 -1.288 3.864
5.482 -1.288 6.445
5.481 -1.293 9.022
```

Properties
formation energy	-161	meV per atom
space group	Cmmm (65)
distance to the lowest polymorph of the same formula	0.0000	eV per atom

=====

Compound: RbGaAs2O6
Source: Alexandria via LeMat-Bulk
Functional: PBE
Structure: relaxed

Structure (POSCAR):
```
RbGaAs2O6
1.0
5.847 -4.968 0.000
5.847 4.968 0.000
-4.322 0.000 5.825
Rb Ga As O
2 2 4 12
Cartesian
2.605 3.040 4.369
4.766 -3.040 1.456
4.766 2.971 1.456
2.605 -2.971 4.369
-0.390 0.522 5.192
1.771 -0.522 2.279
5.600 0.522 3.546
7.761 -0.522 0.633
-1.739 0.918 4.118
0.264 2.097 5.665
0.422 -0.918 1.205
1.010 0.205 3.776
3.171 -0.205 0.863
4.946 2.097 3.073
2.425 -2.097 2.752
4.200 0.205 4.962
6.361 -0.205 2.049
6.949 0.918 4.620
7.107 -2.097 0.160
9.110 -0.918 1.708
```

Properties
space group	C2/c (15)
formation energy from raw total energies	-32.478	kcal/mol of atoms

=====

Compound: Cd2InAgSe4
Source: Alexandria via LeMat-Bulk
Functional: PBE
Structure: relaxed

Structure (POSCAR):
```
Cd2InAgSe4
1.0
6.203 0.000 0.000
0.000 6.203 0.000
0.000 0.000 12.199
Cd In Ag Se
4 2 2 8
Cartesian
0.000 3.101 3.050
0.000 3.101 9.150
3.101 0.000 3.050
3.101 0.000 9.150
0.000 0.000 0.000
3.101 3.101 6.100
0.000 0.000 6.100
3.101 3.101 0.000
1.534 1.534 10.700
1.534 4.669 1.499
1.568 1.568 4.601
1.568 4.635 7.599
4.635 1.568 7.599
4.635 4.635 4.601
4.669 1.534 1.499
4.669 4.669 10.700
```

Properties
space group	I-42m (121)
formation energy from raw total energies	-12.094	kcal/mol of atoms

=====

Compound: NaTbSc4S8
Source: Alexandria via LeMat-Bulk
Functional: PBE
Structure: relaxed

Structure (POSCAR):
```
NaTbSc4S8
1.0
3.845 2.220 6.469
-3.845 2.220 6.469
0.000 -4.440 6.469
Na Tb Sc S
1 1 4 8
Cartesian
0.000 0.000 0.000
0.000 0.000 7.123
0.000 -2.317 10.463
-2.006 1.158 10.463
0.000 0.000 14.432
2.006 1.158 10.463
0.000 -2.055 5.389
-1.780 1.027 5.389
0.000 0.000 2.614
-1.860 -1.074 8.912
1.780 1.027 5.389
0.000 0.000 11.891
1.860 -1.074 8.912
0.000 2.148 8.912
```

Properties
space group	R3m (160)
formation energy from raw total energies	-41.986	kcal/mol of atoms

=====

Compound: Zr6Ga3Hg
Source: Alexandria via LeMat-Bulk
Functional: PBE
Structure: relaxed

Structure (POSCAR):
```
Zr6Ga3Hg
1.0
7.711 0.000 0.000
0.000 7.082 0.000
-7.581 0.000 7.897
Zr Ga Hg
12 6 2
Cartesian
-1.562 0.929 1.999
-5.352 2.611 5.948
1.230 1.147 0.501
-2.560 2.394 4.450
2.555 4.530 0.466
-1.235 6.092 4.414
1.365 0.989 3.483
-2.426 2.552 7.432
2.690 4.688 3.448
-1.101 5.935 7.396
5.482 4.470 1.950
1.691 6.152 5.898
-3.791 0.000 3.949
0.000 3.541 0.000
-3.412 4.767 5.870
0.379 5.855 1.922
-0.249 1.226 5.976
3.541 2.314 2.027
3.855 0.000 0.000
0.065 3.541 3.949
```

Properties
formation energy	-185	meV per atom
space group	P2_1/c (14)

=====

Compound: YTh2Rh5Au
Source: Alexandria via LeMat-Bulk
Functional: PBE
Structure: relaxed

Structure (POSCAR):
```
YTh2Rh5Au
1.0
-4.181 4.181 5.530
4.181 -4.181 5.530
4.181 4.181 -5.530
Y Th Rh Au
2 4 10 2
Cartesian
0.000 0.000 2.765
0.000 0.000 8.295
5.339 1.158 0.000
1.158 3.023 0.000
3.023 1.158 5.530
-1.158 3.023 5.530
0.000 0.000 0.000
2.563 1.619 -1.502
2.563 -1.619 4.028
2.563 1.619 1.502
2.563 -1.619 7.033
0.000 0.000 5.530
1.619 5.800 -1.502
1.619 2.563 4.028
1.619 5.800 1.502
1.619 2.563 7.033
4.181 0.000 2.765
0.000 4.181 2.765
```

Properties
formation energy	-355	meV per atom
space group	I4/mcm (140)

=====

Compound: ErPu2ScAs4
Source: Alexandria via LeMat-Bulk
Functional: PBE
Structure: relaxed

Structure (POSCAR):
```
ErPu2ScAs4
1.0
6.990 0.000 0.000
0.000 4.074 0.000
-2.370 0.000 6.640
Er Pu Sc As
1 2 1 4
Cartesian
0.000 0.000 0.000
2.310 0.000 3.320
3.495 2.037 0.000
-1.185 2.037 3.320
-0.069 0.000 4.922
1.112 2.037 1.691
3.508 2.037 4.950
4.689 0.000 1.718
```

Properties
formation energy	-1223	meV per atom
space group	P2/m (10)

=====

Compound: CsSrTeO4
Source: Alexandria via LeMat-Bulk
Functional: PBE
Structure: relaxed

Structure (POSCAR):
```
CsSrTeO4
1.0
0.000 4.911 4.911
4.911 0.000 4.911
4.911 4.911 0.000
Cs Sr Te O
1 1 1 4
Cartesian
0.000 0.000 0.000
7.367 7.367 7.367
4.911 4.911 4.911
6.022 3.801 3.801
3.801 6.022 3.801
3.801 3.801 6.022
6.022 6.022 6.022
```

Properties
space group	F-43m (216)
formation energy from raw total energies	-35.602	kcal/mol of atoms

=====

Compound: Ba2Cd3Ga5
Source: Alexandria via LeMat-Bulk
Functional: PBE
Structure: relaxed

Structure (POSCAR):
```
Ba2Cd3Ga5
1.0
4.684 0.000 0.000
0.000 4.684 0.000
0.000 0.000 11.625
Ba Cd Ga
2 3 5
Cartesian
0.000 2.342 2.695
2.342 0.000 8.931
0.000 2.342 7.480
2.342 0.000 4.145
2.342 2.342 5.813
0.000 0.000 0.000
0.000 0.000 5.813
0.000 2.342 10.257
2.342 0.000 1.369
2.342 2.342 0.000
```

Properties
formation energy	-358	meV per atom
space group	P-4m2 (115)

=====

no.,D(E_F) (states/eV/f.u.)
1,4.42
2,2.93
3,1.94
4,0.17
5,0.00
6,7.62
7,9.50
8,20.42
9,2.69
10,5.39